one) Material: CrB3I
Method: DFT, GGA-PBE
State: optimized geometry

abc: 4.334 4.334 4.334
angles: 90.00 90.00 90.00
Positions (direct):
Cr (0.000, 0.000, 0.000)
B (0.000, 0.500, 0.500)
B (0.500, 0.000, 0.500)
B (0.500, 0.500, 0.000)
I (0.500, 0.500, 0.500)

Values from the calculation:
Crystal system = cubic


two) Material: CrB3I
Method: DFT, GGA-PBE
State: optimized geometry

abc: 4.186 4.186 4.186
angles: 90.00 90.00 90.00
Positions (direct):
Cr (0.000, 0.000, 0.000)
B (0.000, 0.000, 0.500)
B (0.000, 0.500, 0.000)
B (0.500, 0.000, 0.000)
I (0.500, 0.500, 0.500)

Values from the calculation:
Crystal system = cubic


Stability summary: most stable two), least stable one).


one) Material: CrBI2N
Method: DFT, GGA-PBE
State: optimized geometry

abc: 5.548 5.548 3.631
angles: 90.00 90.00 90.00
Positions (direct):
Cr (0.000, 0.000, 0.000)
B (0.500, 0.500, 0.500)
I (0.000, 0.500, 0.000)
I (0.500, 0.000, 0.000)
N (0.000, 0.000, 0.500)

Values from the calculation:
Crystal system = tetragonal


two) Material: CrBI2N
Method: DFT, GGA-PBE
State: optimized geometry

abc: 6.404 6.404 2.815
angles: 90.00 90.00 90.00
Positions (direct):
Cr (0.000, 0.000, 0.000)
B (0.500, 0.500, 0.500)
I (0.000, 0.500, 0.500)
I (0.500, 0.000, 0.500)
N (0.500, 0.500, 0.000)

Values from the calculation:
Crystal system = tetragonal


Stability summary: most stable two), least stable one).